[1]
# LiCoAsO

A relaxed LiCoAsO crystal (PBE with a Hubbard U, the Open Quantum Materials Database).

Calculated values
- magnetization (μB per formula unit) = 2.49
- E_tot (eV/atom) = -4.85
- relative energy among the computed polymorphs (eV/atom) = 0.000
- volume (Å³/f.u.) = 56

Geometry as CIF:
```
data_LiCoAsO
_space_group_name_H-M_alt 'P m c 21'
_space_group_IT_number 26
_cell_length_a 3.462
_cell_length_b 6.723
_cell_length_c 4.844
_cell_angle_alpha 90.00
_cell_angle_beta 90.00
_cell_angle_gamma 90.00
loop_
_space_group_symop_operation_xyz
'x,y,z'
'-x,-y,z+1/2'
'-x,y,z'
'x,-y,z+1/2'
loop_
_atom_site_label
_atom_site_type_symbol
_atom_site_fract_x
_atom_site_fract_y
_atom_site_fract_z
_atom_site_occupancy
Li1 Li 0.000 0.183 0.000 1
Co1 Co 0.500 0.168 0.527 1
As1 As 0.000 0.419 0.466 1
O1 O 0.500 0.102 0.915 1
```


[2]
# LiCoAsO

A relaxed LiCoAsO crystal (PBE with a Hubbard U, the Open Quantum Materials Database).

Calculated values
- magnetization (μB per formula unit) = 2.38
- E_tot (eV/atom) = -4.84
- relative energy among the computed polymorphs (eV/atom) = 0.013
- volume (Å³/f.u.) = 55

Geometry as CIF:
```
data_LiCoAsO
_space_group_name_H-M_alt 'P m c 21'
_space_group_IT_number 26
_cell_length_a 3.034
_cell_length_b 7.368
_cell_length_c 4.951
_cell_angle_alpha 90.00
_cell_angle_beta 90.00
_cell_angle_gamma 90.00
loop_
_space_group_symop_operation_xyz
'x,y,z'
'-x,-y,z+1/2'
'-x,y,z'
'x,-y,z+1/2'
loop_
_atom_site_label
_atom_site_type_symbol
_atom_site_fract_x
_atom_site_fract_y
_atom_site_fract_z
_atom_site_occupancy
Li1 Li 0.000 0.103 0.000 1
Co1 Co 0.500 0.279 0.426 1
As1 As 0.500 0.398 0.894 1
O1 O 0.000 0.129 0.376 1
```


[3]
# LiCoAsO

A relaxed LiCoAsO crystal (PBE with a Hubbard U, the Open Quantum Materials Database).

Calculated values
- magnetization (μB per formula unit) = 0.01
- E_tot (eV/atom) = -4.41
- relative energy among the computed polymorphs (eV/atom) = 0.441
- volume (Å³/f.u.) = 47

Geometry as CIF:
```
data_LiCoAsO
_space_group_name_H-M_alt 'P 4/n m m'
_space_group_IT_number 129
_cell_length_a 3.715
_cell_length_b 3.715
_cell_length_c 6.792
_cell_angle_alpha 90.00
_cell_angle_beta 90.00
_cell_angle_gamma 90.00
loop_
_space_group_symop_operation_xyz
'x,y,z'
'-x,-y,-z'
'-y+1/2,x,z'
'y+1/2,-x,-z'
'-x+1/2,-y+1/2,z'
'x+1/2,y+1/2,-z'
'y,-x+1/2,z'
'-y,x+1/2,-z'
'x+1/2,-y,-z'
'-x+1/2,y,z'
'-y,-x,-z'
'y,x,z'
'-x,y+1/2,-z'
'x,-y+1/2,z'
'y+1/2,x+1/2,-z'
'-y+1/2,-x+1/2,z'
loop_
_atom_site_label
_atom_site_type_symbol
_atom_site_fract_x
_atom_site_fract_y
_atom_site_fract_z
_atom_site_occupancy
Li1 Li 0.250 0.250 0.083 1
Co1 Co 0.250 0.750 0.500 1
As1 As 0.250 0.250 0.693 1
O1 O 0.250 0.750 0.000 1
```


[4]
# LiCoAsO

A relaxed LiCoAsO crystal (PBE with a Hubbard U, the Open Quantum Materials Database).

Calculated values
- magnetization (μB per formula unit) = 0.01
- E_tot (eV/atom) = -4.41
- relative energy among the computed polymorphs (eV/atom) = 0.441
- volume (Å³/f.u.) = 46

Geometry as CIF:
```
data_LiCoAsO
_space_group_name_H-M_alt 'P 4/n m m'
_space_group_IT_number 129
_cell_length_a 3.706
_cell_length_b 3.706
_cell_length_c 6.744
_cell_angle_alpha 90.00
_cell_angle_beta 90.00
_cell_angle_gamma 90.00
loop_
_space_group_symop_operation_xyz
'x,y,z'
'-x,-y,-z'
'-y+1/2,x,z'
'y+1/2,-x,-z'
'-x+1/2,-y+1/2,z'
'x+1/2,y+1/2,-z'
'y,-x+1/2,z'
'-y,x+1/2,-z'
'x+1/2,-y,-z'
'-x+1/2,y,z'
'-y,-x,-z'
'y,x,z'
'-x,y+1/2,-z'
'x,-y+1/2,z'
'y+1/2,x+1/2,-z'
'-y+1/2,-x+1/2,z'
loop_
_atom_site_label
_atom_site_type_symbol
_atom_site_fract_x
_atom_site_fract_y
_atom_site_fract_z
_atom_site_occupancy
Li1 Li 0.250 0.250 0.092 1
Co1 Co 0.250 0.750 0.500 1
As1 As 0.250 0.250 0.695 1
O1 O 0.250 0.750 0.000 1
```


[5]
# LiCoAsO

A relaxed LiCoAsO crystal (PBE with a Hubbard U, the Open Quantum Materials Database).

Calculated values
- magnetization (μB per formula unit) = 2.37
- E_tot (eV/atom) = -4.38
- relative energy among the computed polymorphs (eV/atom) = 0.472
- volume (Å³/f.u.) = 56

Geometry as CIF:
```
data_LiCoAsO
_space_group_name_H-M_alt 'P 4/n m m'
_space_group_IT_number 129
_cell_length_a 3.478
_cell_length_b 3.478
_cell_length_c 9.289
_cell_angle_alpha 90.00
_cell_angle_beta 90.00
_cell_angle_gamma 90.00
loop_
_space_group_symop_operation_xyz
'x,y,z'
'-x,-y,-z'
'-y+1/2,x,z'
'y+1/2,-x,-z'
'-x+1/2,-y+1/2,z'
'x+1/2,y+1/2,-z'
'y,-x+1/2,z'
'-y,x+1/2,-z'
'x+1/2,-y,-z'
'-x+1/2,y,z'
'-y,-x,-z'
'y,x,z'
'-x,y+1/2,-z'
'x,-y+1/2,z'
'y+1/2,x+1/2,-z'
'-y+1/2,-x+1/2,z'
loop_
_atom_site_label
_atom_site_type_symbol
_atom_site_fract_x
_atom_site_fract_y
_atom_site_fract_z
_atom_site_occupancy
Li1 Li 0.250 0.750 0.000 1
Co1 Co 0.250 0.250 0.399 1
As1 As 0.250 0.250 0.791 1
O1 O 0.250 0.750 0.500 1
```


> The highest E_tot belongs to which entry?

number 5